No. 1
Material: PrGaS3
Method: DFT, GGA-PBE
State: relaxed

POSCAR file:
```
PrGaS3
1.0
-3.519 6.050 -1.059
-7.999 -2.783 -1.636
-3.477 1.490 7.752
Pr Ga S
4 4 12
Direct
0.250 0.900 0.100
0.750 0.100 0.900
0.250 0.328 0.672
0.750 0.672 0.328
0.753 0.614 0.800
0.747 0.200 0.386
0.247 0.386 0.200
0.253 0.800 0.614
0.656 0.780 0.996
0.844 0.004 0.220
0.344 0.220 0.004
0.156 0.996 0.780
0.893 0.373 0.904
0.607 0.096 0.627
0.107 0.627 0.096
0.393 0.904 0.373
0.507 0.586 0.668
0.993 0.332 0.414
0.493 0.414 0.332
0.007 0.668 0.586
```

## Properties
Spin magnetization, μB/f.u.: 0.00
E above lowest polymorph, eV per atom: 0.0000
Symmetry: No. 15

No. 2
Material: AcH2Br2
Method: DFT, GGA-PBE
State: relaxed

POSCAR file:
```
AcH2Br2
1.0
4.056 0.000 0.000
-2.028 6.900 -2.888
0.000 -3.735 10.969
Ac H Br
2 4 4
Direct
0.337 0.675 0.954
0.663 0.325 0.046
0.819 0.638 0.043
0.181 0.362 0.957
0.191 0.381 0.657
0.809 0.619 0.343
0.380 0.759 0.277
0.620 0.241 0.723
0.082 0.165 0.197
0.918 0.835 0.803
```

## Properties
Spin magnetization, μB/f.u.: 1.00
Symmetry: No. 12
Total DFT energy (no corrections), eV/f.u.: -17.894

No. 3
Material: Be2IrPt
Method: DFT, GGA-PBE
State: relaxed

POSCAR file:
```
Be2IrPt
1.0
-8.172 0.053 0.332
-7.663 -1.800 2.223
-7.620 0.820 2.857
Be Ir Pt
2 1 1
Direct
0.998 0.998 0.998
0.252 0.252 0.252
0.511 0.511 0.511
0.739 0.739 0.739
```

## Properties
Spin magnetization, μB/f.u.: 0.00
E above lowest polymorph, eV per atom: 0.6322
Symmetry: No. 160

No. 4
Material: Na3Ac3TiTe8
Method: DFT, GGA-PBE
State: relaxed

POSCAR file:
```
Na3Ac3TiTe8
1.0
9.283 0.000 0.000
-4.641 8.039 -0.029
0.000 -5.335 7.631
Na Ac Ti Te
3 3 1 8
Direct
0.000 0.000 0.000
0.000 0.500 0.000
0.500 0.500 0.000
0.500 0.000 0.500
0.500 0.500 0.500
0.000 0.500 0.500
0.000 0.000 0.500
0.248 0.497 0.245
0.752 0.503 0.755
0.781 0.562 0.278
0.219 0.438 0.722
0.781 0.997 0.278
0.219 0.003 0.722
0.216 0.997 0.278
0.784 0.003 0.722
```

## Properties
Spin magnetization, μB/f.u.: 0.00
Symmetry: No. 166
Total DFT energy (no corrections), eV/f.u.: -67.082